A plane-wave DFT calculation with PBE was carried out for Dy2CuNi2 after structural relaxation.

a b c (Å): 5.270 5.279 7.686
angles (deg): 102.49 90.00 119.94
Fractional coordinates of all 10 atoms:
Dy1 0.508 0.298 0.149
Dy2 0.210 0.702 0.351
Dy3 0.492 0.702 0.851
Dy4 0.790 0.298 0.649
Cu1 0.848 0.000 0.250
Cu2 0.152 0.000 0.750
Ni1 0.730 0.731 0.497
Ni2 0.999 0.269 0.003
Ni3 0.270 0.269 0.503
Ni4 0.001 0.731 0.997

Energy relative to the elements   -0.39 eV per atom
Mass density   9.4 g/cm3

---

A plane-wave DFT calculation with PBE was carried out for CaNd2Hg6 after structural relaxation.

a b c (Å): 3.523 8.725 8.725
angles (deg): 120.00 90.00 90.00
Fractional coordinates of all 9 atoms:
Ca1 0.000 0.000 0.000
Nd1 0.000 0.333 0.667
Nd2 0.000 0.667 0.333
Hg1 0.500 0.332 0.332
Hg2 0.500 0.668 0.668
Hg3 0.500 0.000 0.668
Hg4 0.500 0.668 0.000
Hg5 0.500 0.332 0.000
Hg6 0.500 0.000 0.332

Energy relative to the elements   -0.44 eV per atom
Mass density   11.0 g/cm3

---

A plane-wave DFT calculation with PBE was carried out for Nd2HoTm9 after structural relaxation.

a b c (Å): 3.474 11.145 11.145
angles (deg): 120.00 90.00 90.00
Fractional coordinates of all 12 atoms:
Nd1 0.000 0.333 0.667
Nd2 0.000 0.667 0.333
Ho1 0.000 0.000 0.000
Tm1 0.000 0.000 0.500
Tm2 0.000 0.500 0.500
Tm3 0.000 0.500 0.000
Tm4 0.500 0.348 0.174
Tm5 0.500 0.174 0.826
Tm6 0.500 0.174 0.348
Tm7 0.500 0.826 0.652
Tm8 0.500 0.826 0.174
Tm9 0.500 0.652 0.826

Energy relative to the elements   0.08 eV per atom
ΔE to the lowest computed polymorph   49 meV/atom
Mass density   8.8 g/cm3

---

A plane-wave DFT calculation with PBE was carried out for PmPrNCl after structural relaxation.

a b c (Å): 3.691 3.691 7.428
angles (deg): 90.00 104.39 120.00
Fractional coordinates of all 4 atoms:
Pm1 0.093 0.944 0.052
Pr1 0.508 0.152 0.675
N1 0.315 0.555 0.885
Cl1 0.963 0.379 0.357

Mass density   6.6 g/cm3
E_form (uncorrected)   -1.53 eV per atom

---

| no. | total DFT energy (no corrections) (eV/cell) |
| --- | --- |
| 1 | -53.61 |
| 2 | -17.28 |
| 3 | -53.43 |
| 4 | -25.82 |